Computed, not measured: a relaxed AgH6N2F2 crystal at the PBE level of DFT.

Output
D(E_F)   1.69 states/eV/f.u.
E   -4.64 eV/atom

Lattice parameters (Å, degrees): 4.015 4.969 5.656 88.06 74.77 80.04
Positions (direct):
Ag 0.000 0.000 0.000
H 0.067 0.441 0.237
H 0.187 0.739 0.559
H 0.348 0.537 0.763
H 0.652 0.463 0.237
H 0.813 0.261 0.441
H 0.933 0.559 0.763
N 0.133 0.672 0.739
N 0.867 0.328 0.261
F 0.305 0.746 0.223
F 0.695 0.254 0.777